No. 1
This record from Alexandria describes crystalline NaPmCd2 at its relaxed geometry. The functional is PBE.

Summary:
Its formation enthalpy at 0 K is -184.1 meV/atom. The energy above the most stable polymorph in this dataset is 0.000 eV per formula unit. The calculation puts the calculated density at 6.2 g/cm³.

Geometry as POSCAR:
```
NaPmCd2
1.0
0.0000 3.7480 3.7480
3.7480 0.0000 3.7480
3.7480 3.7480 0.0000
Na Pm Cd
1 1 2
Direct
0.0000 0.0000 0.0000
0.5000 0.5000 0.5000
0.2500 0.2500 0.2500
0.7500 0.7500 0.7500
```

=====

No. 2
This record from Alexandria describes crystalline NaIn2Br8 at its relaxed geometry. The functional is PBE.

Summary:
As for the raw formation energy: -0.783 eV per atom. The calculation puts the calculated density at 3.3 g/cm³.

Geometry as POSCAR:
```
NaIn2Br8
1.0
7.5007 -4.4606 0.0000
7.5007 4.4606 0.0000
-1.6077 0.0000 6.6919
Na In Br
1 2 8
Direct
0.0000 0.0000 0.0000
0.1760 0.1760 0.6493
0.8240 0.8240 0.3507
0.1405 0.6978 0.2662
0.1833 0.1833 0.2856
0.3022 0.8595 0.7338
0.3369 0.3369 0.8651
0.6631 0.6631 0.1349
0.6978 0.1405 0.2662
0.8167 0.8167 0.7144
0.8595 0.3022 0.7338
```

=====

No. 3
This record from Alexandria describes crystalline CoNi2MoN at its relaxed geometry. The functional is PBE.

Summary:
As for the raw formation energy: 0.077 eV per atom. The calculation puts the calculated density at 8.4 g/cm³.

Geometry as POSCAR:
```
CoNi2MoN
1.0
3.7445 0.0000 0.0000
0.0000 3.7445 0.0000
0.0000 0.0000 4.0423
Co Ni Mo N
1 2 1 1
Direct
0.0000 0.0000 0.0000
0.0000 0.5000 0.5000
0.5000 0.0000 0.5000
0.5000 0.5000 0.0000
0.5000 0.5000 0.5000
```

=====

No. 4
This record from Alexandria describes crystalline BaLaMn2 at its relaxed geometry. The functional is PBE.

Summary:
Its formation enthalpy at 0 K is 551.8 meV/atom. The energy above the most stable polymorph in this dataset is 0.474 eV per formula unit. The calculation puts the calculated density at 5.7 g/cm³.

Geometry as POSCAR:
```
BaLaMn2
1.0
-1.8782 2.6436 5.6657
1.8782 -2.6436 5.6657
1.8782 2.6436 -5.6657
Ba La Mn
1 1 2
Direct
0.0000 0.0000 0.0000
0.2909 0.7909 0.5000
0.5673 0.5673 0.0000
0.7372 0.2372 0.5000
```